The following is a DFT calculation (PBE) of an optimized crystal structure of HgS2NF. Values from VASP.

Computed properties:
N(E_F): 0.36 states/eV per atom
Energy above the lowest structure with this stoichiometry: 3.6 kJ/mol of atoms
Space-group type: P4/mmm
Magnetization: 4.93 Bohr magnetons per cell
E_tot: -2.281 eV per atom
Formation energy without anion corrections: 1.470 eV per atom
Calculated volume: 115.0 Å³ per cell

Quantum ESPRESSO input file:
```
&SYSTEM
  ibrav = 0, nat = 5, ntyp = 4
/
ATOMIC_SPECIES
S 32.06 S.upf
N 14.01 N.upf
Hg 200.59 Hg.upf
F 19.00 F.upf
CELL_PARAMETERS angstrom
5.174 0.000 0.000
0.000 5.174 0.000
0.000 0.000 4.295
ATOMIC_POSITIONS crystal
S 0.000 0.500 0.000
S 0.500 0.000 0.000
N 0.000 0.000 0.500
Hg 0.000 0.000 0.000
F 0.500 0.500 0.500
```